(1)
Crystalline LuNbRuRh at its relaxed geometry, computed with PBE.

Computed properties:
formation energy = -0.485 eV/atom

a = 4.6070 Å, b = 4.6070 Å, c = 4.6070 Å
α = 60.00°, β = 60.00°, γ = 60.00°
Last column: nearest neighbours and their distance in Å.
Fractional positions:
Ru 0.7500 0.7500 0.7500  4 Nb 2.82, 4 Lu 2.82
Nb 0.5000 0.5000 0.5000  4 Rh 2.82, 4 Ru 2.82
Lu 0.0000 0.0000 0.0000  4 Ru 2.82, 4 Rh 2.82
Rh 0.2500 0.2500 0.2500  4 Lu 2.82, 4 Nb 2.82


(2)
Crystalline LuNbRu2 at its relaxed geometry, computed with PBE.

Computed properties:
formation energy = -0.438 eV/atom

a = 4.5825 Å, b = 4.5825 Å, c = 4.5825 Å
α = 60.00°, β = 60.00°, γ = 60.00°
Last column: nearest neighbours and their distance in Å.
Fractional positions:
Ru 0.7500 0.7500 0.7500  4 Nb 2.81, 4 Lu 2.81
Ru 0.2500 0.2500 0.2500  4 Lu 2.81, 4 Nb 2.81
Nb 0.0000 0.0000 0.0000  8 Ru 2.81
Lu 0.5000 0.5000 0.5000  8 Ru 2.81


(3)
Crystalline LuNbRu2 at its relaxed geometry, computed with PBE.

Computed properties:
formation energy = -0.460 eV/atom

a = 3.2279 Å, b = 3.2279 Å, c = 6.6123 Å
α = 90.00°, β = 90.00°, γ = 90.00°
Last column: nearest neighbours and their distance in Å.
Fractional positions:
Ru 0.0000 0.0000 0.2304  4 Nb 2.74, 4 Lu 2.90, 1 Ru 3.05
Ru 0.0000 0.0000 0.7696  4 Nb 2.74, 4 Lu 2.90, 1 Ru 3.05
Lu 0.5000 0.5000 0.5000  8 Ru 2.90, 4 Lu 3.23
Nb 0.5000 0.5000 0.0000  8 Ru 2.74


(4)
Crystalline LuNbRu at its relaxed geometry, computed with PBE.

Computed properties:
formation energy = -0.233 eV/atom

a = 3.2538 Å, b = 3.2538 Å, c = 5.8271 Å
α = 106.21°, β = 106.21°, γ = 90.00°
Last column: nearest neighbours and their distance in Å.
Fractional positions:
Ru 0.6803 0.6803 0.3606  4 Nb 2.70, 4 Lu 2.95
Lu 0.0072 0.0072 0.0144  4 Ru 2.95, 5 Nb 3.10-3.27, 4 Lu 3.25
Nb 0.3125 0.3125 0.6250  4 Ru 2.70


(5)
Crystalline LuNbTcRu at its relaxed geometry, computed with PBE.

Computed properties:
formation energy = -0.309 eV/atom

a = 4.5970 Å, b = 4.5970 Å, c = 4.5970 Å
α = 60.00°, β = 60.00°, γ = 60.00°
Last column: nearest neighbours and their distance in Å.
Fractional positions:
Ru 0.7500 0.7500 0.7500  4 Nb 2.82, 4 Lu 2.82
Nb 0.0000 0.0000 0.0000  4 Tc 2.82, 4 Ru 2.82
Tc 0.2500 0.2500 0.2500  4 Lu 2.82, 4 Nb 2.82
Lu 0.5000 0.5000 0.5000  4 Tc 2.82, 4 Ru 2.82


(6)
Crystalline LuScNb at its relaxed geometry, computed with PBE.

Computed properties:
formation energy = 0.163 eV/atom

a = 3.1109 Å, b = 3.1109 Å, c = 7.5705 Å
α = 101.86°, β = 101.86°, γ = 90.00°
Last column: nearest neighbours and their distance in Å.
Fractional positions:
Sc 0.3162 0.3162 0.6323  4 Nb 3.05, 4 Sc 3.11
Lu 0.0136 0.0136 0.0272  4 Lu 3.11, 4 Nb 3.16
Nb 0.6702 0.6702 0.3405  4 Sc 3.05, 4 Nb 3.11, 4 Lu 3.16


(7)
Crystalline Lu2ScNb at its relaxed geometry, computed with PBE.

Computed properties:
formation energy = 0.230 eV/atom

a = 3.7959 Å, b = 3.7959 Å, c = 6.7546 Å
α = 90.00°, β = 90.00°, γ = 90.00°
Last column: nearest neighbours and their distance in Å.
Fractional positions:
Lu 0.0000 0.0000 0.2274  1 Lu 3.07, 4 Nb 3.09, 4 Sc 3.25
Lu 0.0000 0.0000 0.7726  1 Lu 3.07, 4 Nb 3.09, 4 Sc 3.25
Sc 0.5000 0.5000 0.5000  8 Lu 3.25, 2 Nb 3.38
Nb 0.5000 0.5000 0.0000  8 Lu 3.09, 2 Sc 3.38


(8)
Crystalline Lu2ScNb at its relaxed geometry, computed with PBE.

Computed properties:
formation energy = 0.178 eV/atom

a = 4.5764 Å, b = 4.5934 Å, c = 4.5934 Å
α = 90.00°, β = 90.00°, γ = 90.00°
Last column: nearest neighbours and their distance in Å.
Fractional positions:
Sc 0.5000 0.0000 0.0000  8 Lu 3.24, 4 Nb 3.25
Lu 0.0000 0.0000 0.5000  4 Nb 3.24, 4 Sc 3.24, 4 Lu 3.25
Lu 0.0000 0.5000 0.0000  4 Nb 3.24, 4 Sc 3.24, 4 Lu 3.25
Nb 0.5000 0.5000 0.5000  8 Lu 3.24, 4 Sc 3.25


(9)
Crystalline LuScNb at its relaxed geometry, computed with PBE.

Computed properties:
formation energy = 0.167 eV/atom

a = 3.1024 Å, b = 5.0058 Å, c = 5.0058 Å
α = 120.00°, β = 90.00°, γ = 90.00°
Last column: nearest neighbours and their distance in Å.
Fractional positions:
Nb 0.1667 0.3333 0.6667  3 Lu 2.89, 2 Nb 3.10
Lu 0.1666 0.0000 0.0000  3 Nb 2.89, 2 Lu 3.10
Sc 0.6667 0.6667 0.3333  2 Sc 3.10, 6 Lu 3.28, 6 Nb 3.28


(10)
Crystalline LuZrScNb at its relaxed geometry, computed with PBE.

Computed properties:
formation energy = 0.173 eV/atom

a = 5.0352 Å, b = 5.0352 Å, c = 5.0352 Å
α = 60.00°, β = 60.00°, γ = 60.00°
Last column: nearest neighbours and their distance in Å.
Fractional positions:
Lu 0.2500 0.2500 0.2500  4 Nb 3.08, 4 Sc 3.08
Zr 0.7500 0.7500 0.7500  4 Sc 3.08, 4 Nb 3.08
Sc 0.0000 0.0000 0.0000  4 Zr 3.08, 4 Lu 3.08
Nb 0.5000 0.5000 0.5000  4 Zr 3.08, 4 Lu 3.08


(11)
Crystalline LuNbSe2 at its relaxed geometry, computed with PBE.

Computed properties:
E_form (uncorrected) = -674 meV per atom

a = 3.5069 Å, b = 3.5069 Å, c = 9.2003 Å
α = 79.01°, β = 79.01°, γ = 60.00°
Last column: nearest neighbours and their distance in Å.
Fractional positions:
Se 0.8965 0.8965 0.3105  3 Nb 2.64, 1 Lu 2.79
Se 0.1035 0.1035 0.6895  3 Nb 2.64, 1 Lu 2.79
Nb 0.5000 0.5000 0.5000  6 Se 2.64
Lu 0.0000 0.0000 0.0000  2 Se 2.79


(12)
Crystalline LuNbSi2 at its relaxed geometry, computed with PBE.

Computed properties:
E_form (uncorrected) = -426 meV per atom

a = 3.6979 Å, b = 3.6979 Å, c = 6.9105 Å
α = 74.48°, β = 74.48°, γ = 60.00°
Last column: nearest neighbours and their distance in Å.
Fractional positions:
Si 0.7419 0.7419 0.7742  3 Nb 2.60, 3 Lu 2.79
Si 0.2581 0.2581 0.2258  3 Nb 2.60, 3 Lu 2.79
Lu 0.5000 0.5000 0.5000  6 Si 2.79
Nb 0.0000 0.0000 0.0000  6 Si 2.60


Record order is preserved below.
Uncorrected energy: -33.16, -34.89, -34.98, -24.57, -35.47, -20.43, -24.52, -24.73, -20.42, -28.78, -24.25, -27.14 eV/cell